Entry 1:
# P2OsAu (PBE-GGA, optimized geometry)
# Density in g/cm³: 11.36
# Spin magnetization in μB per formula unit: 0.00
# Energy relative to the elements in kJ/mol of formula units: 83
# Final energy in eV for the cell shown: -48.94
# DOS(E_F) in states/eV/cell: 3.3
data_P2OsAu
_space_group_name_H-M_alt 'I m m 2'
_space_group_IT_number 44
_cell_length_a 2.8699
_cell_length_b 3.7030
_cell_length_c 12.3529
_cell_angle_alpha 90.00
_cell_angle_beta 90.00
_cell_angle_gamma 90.00
loop_
_space_group_symop_operation_xyz
'x,y,z'
'-x,-y,z'
'-x,y,z'
'x,-y,z'
'x+1/2,y+1/2,z+1/2'
'-x+1/2,-y+1/2,z+1/2'
'-x+1/2,y+1/2,z+1/2'
'x+1/2,-y+1/2,z+1/2'
loop_
_atom_site_label
_atom_site_type_symbol
_atom_site_fract_x
_atom_site_fract_y
_atom_site_fract_z
_atom_site_occupancy
P1 P 0.0000 0.0000 0.0000 1
P2 P 0.0000 0.5000 0.2141 1
Os1 Os 0.0000 0.0000 0.5608 1
Au1 Au 0.0000 0.5000 0.8380 1

***

Entry 2:
# POs2Au (PBE-GGA, optimized geometry)
# Density in g/cm³: 16.55
# Spin magnetization in μB per formula unit: 0.00
# Energy relative to the elements in kJ/mol of formula units: 110
# Final energy in eV for the cell shown: -90.01
# DOS(E_F) in states/eV/cell: 5.3
data_POs2Au
_space_group_name_H-M_alt 'R 3 m'
_space_group_IT_number 160
_space_group_name_Hall 'R 3 -2"'
_cell_length_a 2.8374
_cell_length_b 2.8374
_cell_length_c 26.2610
_cell_angle_alpha 90.00
_cell_angle_beta 90.00
_cell_angle_gamma 120.00
loop_
_atom_site_label
_atom_site_type_symbol
_atom_site_fract_x
_atom_site_fract_y
_atom_site_fract_z
_atom_site_occupancy
P1 P 0.0000 0.0000 0.0000 1
Os1 Os 0.0000 0.0000 0.4821 1
Os2 Os 0.0000 0.0000 0.7331 1
Au1 Au 0.0000 0.0000 0.2404 1